Entry 1:
Entry from Alexandria via LeMat-Bulk: crystalline Cd2GaMoPd at its relaxed geometry (PBE).

Its formation energy from the elements is 1.071 eV per atom. The density is 6182 kg/m³. Its calculated volume is 133 Å³ per cell.

The space group is P4/mmm (No. 123) and the conventional cell measures 5.2618, 5.2618 and 4.8207 Å, with angles of 90.00, 90.00 and 90.00 degrees. The inequivalent atoms are Cd at (0.0000, 0.5000, 0.0000), Ga at (0.0000, 0.0000, 0.5000), Mo at (0.0000, 0.0000, 0.0000) and Pd at (0.5000, 0.5000, 0.5000).

Entry 2:
Entry from Alexandria via LeMat-Bulk: crystalline CdGaMoPt2 at its relaxed geometry (PBE).

Its formation energy from the elements is 0.740 eV per atom. The density is 9588 kg/m³. Its calculated volume is 116 Å³ per cell.

The space group is P4/mmm (No. 123) and the conventional cell measures 4.8652, 4.8652 and 4.8892 Å, with angles of 90.00, 90.00 and 90.00 degrees. The inequivalent atoms are Cd at (0.0000, 0.0000, 0.0000), Ga at (0.5000, 0.5000, 0.0000), Mo at (0.5000, 0.5000, 0.5000) and Pt at (0.0000, 0.5000, 0.5000).

Entry 3:
Entry from Alexandria via LeMat-Bulk: crystalline CdGaMo2Ru at its relaxed geometry (PBE).

Its formation energy from the elements is 1.345 eV per atom. The density is 8006 kg/m³. Its calculated volume is 99 Å³ per cell.

The space group is P4/mmm (No. 123) and the conventional cell measures 4.6530, 4.6530 and 4.5512 Å, with angles of 90.00, 90.00 and 90.00 degrees. The inequivalent atoms are Cd at (0.0000, 0.0000, 0.0000), Ga at (0.5000, 0.5000, 0.5000), Mo at (0.0000, 0.5000, 0.5000) and Ru at (0.5000, 0.5000, 0.0000).

Entry 4:
Entry from Alexandria via LeMat-Bulk: crystalline Cd2GaSiMo at its relaxed geometry (PBE).

The raw formation energy is 0.75 eV per atom. The density is 5173 kg/m³. Its calculated volume is 134 Å³ per cell.

The space group is P4/mmm (No. 123) and the conventional cell measures 5.3432, 5.3432 and 4.7066 Å, with angles of 90.00, 90.00 and 90.00 degrees. The inequivalent atoms are Cd at (0.0000, 0.5000, 0.0000), Ga at (0.0000, 0.0000, 0.5000), Si at (0.5000, 0.5000, 0.5000) and Mo at (0.5000, 0.5000, 0.0000).

Entry 5:
Entry from Alexandria via LeMat-Bulk: crystalline CdGaN3 at its relaxed geometry (PBE).

The raw formation energy is 2.26 eV per atom. The density is 4689 kg/m³. Its calculated volume is 79 Å³ per cell.

The space group is Pm-3m (No. 221) and the conventional cell measures 4.2977, 4.2977 and 4.2977 Å, with angles of 90.00, 90.00 and 90.00 degrees. The inequivalent atoms are Cd at (0.0000, 0.0000, 0.0000), Ga at (0.5000, 0.5000, 0.5000) and N at (0.0000, 0.0000, 0.5000).

Entry 6:
Entry from Alexandria via LeMat-Bulk: crystalline CdGaN3 at its relaxed geometry (PBE).

The raw formation energy is 1.50 eV per atom. The density is 5992 kg/m³. Its calculated volume is 62 Å³ per cell.

The space group is Pm-3m (No. 221) and the conventional cell measures 3.9604, 3.9604 and 3.9604 Å, with angles of 90.00, 90.00 and 90.00 degrees. The inequivalent atoms are Cd at (0.0000, 0.0000, 0.0000), Ga at (0.5000, 0.5000, 0.5000) and N at (0.0000, 0.5000, 0.5000).

Entry 7:
Entry from Alexandria via LeMat-Bulk: crystalline CdGa3N at its relaxed geometry (PBE).

The raw formation energy is 0.40 eV per atom. The density is 6368 kg/m³. Its calculated volume is 88 Å³ per cell.

The space group is Pm-3m (No. 221) and the conventional cell measures 4.4397, 4.4397 and 4.4397 Å, with angles of 90.00, 90.00 and 90.00 degrees. The inequivalent atoms are Cd at (0.0000, 0.0000, 0.0000), Ga at (0.0000, 0.5000, 0.5000) and N at (0.5000, 0.5000, 0.5000).

Entry 8:
Entry from Alexandria via LeMat-Bulk: crystalline Cd2GaN at its relaxed geometry (PBE).

The raw formation energy is 0.90 eV per atom. The density is 7293 kg/m³. Its calculated volume is 281 Å³ per cell.

The space group is Fm-3m (No. 225) and the conventional cell measures 6.5500, 6.5500 and 6.5500 Å, with angles of 90.00, 90.00 and 90.00 degrees. The inequivalent atoms are Cd at (0.2500, 0.2500, 0.2500), Ga at (0.0000, 0.0000, 0.0000) and N at (0.0000, 0.0000, 0.5000).

Entry 9:
Entry from Alexandria via LeMat-Bulk: crystalline Cd3GaN at its relaxed geometry (PBE).

The raw formation energy is 0.50 eV per atom. The density is 6938 kg/m³. Its calculated volume is 101 Å³ per cell.

The space group is Pm-3m (No. 221) and the conventional cell measures 4.6533, 4.6533 and 4.6533 Å, with angles of 90.00, 90.00 and 90.00 degrees. The inequivalent atoms are Cd at (0.0000, 0.0000, 0.5000), Ga at (0.5000, 0.5000, 0.5000) and N at (0.0000, 0.0000, 0.0000).

Entry 10:
Entry from Alexandria via LeMat-Bulk: crystalline Cd3GaN at its relaxed geometry (PBE).

The raw formation energy is 1.14 eV per atom. The density is 5010 kg/m³. Its calculated volume is 140 Å³ per cell.

The space group is Pm-3m (No. 221) and the conventional cell measures 5.1865, 5.1865 and 5.1865 Å, with angles of 90.00, 90.00 and 90.00 degrees. The inequivalent atoms are Cd at (0.0000, 0.0000, 0.5000), Ga at (0.0000, 0.0000, 0.0000) and N at (0.5000, 0.5000, 0.5000).

Entry 11:
Entry from Alexandria via LeMat-Bulk: crystalline CdGa3N at its relaxed geometry (PBE).

The raw formation energy is 1.51 eV per atom. The density is 4281 kg/m³. Its calculated volume is 130 Å³ per cell.

The space group is Pm-3m (No. 221) and the conventional cell measures 5.0681, 5.0681 and 5.0681 Å, with angles of 90.00, 90.00 and 90.00 degrees. The inequivalent atoms are Cd at (0.0000, 0.0000, 0.0000), Ga at (0.0000, 0.0000, 0.5000) and N at (0.5000, 0.5000, 0.5000).

Entry 12:
Entry from Alexandria via LeMat-Bulk: crystalline Cd3Ga2N4 at its relaxed geometry (PBE).

The raw formation energy is 0.24 eV per atom. The density is 6837 kg/m³. Its calculated volume is 518 Å³ per cell.

The space group is C2/c (No. 15) and the conventional cell measures 9.6214, 9.6096 and 5.6287 Å, with angles of 90.00, 96.02 and 90.00 degrees. The inequivalent atoms are Cd at (0.0000, 0.1236, 0.2500), Cd at (0.1116, 0.3475, 0.5745), Ga at (0.2194, 0.1143, 0.8886), N at (0.1108, 0.2831, 0.9883) and N at (0.1906, 0.0684, 0.5398).

Entry 13:
Entry from Alexandria via LeMat-Bulk: crystalline Cd2GaN at its relaxed geometry (PBE).

The raw formation energy is 0.54 eV per atom. The density is 5879 kg/m³. Its calculated volume is 349 Å³ per cell.

The space group is I-42d (No. 122) and the conventional cell measures 6.2893, 6.2893 and 8.8134 Å, with angles of 90.00, 90.00 and 90.00 degrees. The inequivalent atoms are Cd at (0.1621, 0.2500, 0.1250), Ga at (0.0000, 0.0000, 0.5000) and N at (0.0000, 0.0000, 0.0000).

Entry 14:
Entry from Alexandria via LeMat-Bulk: crystalline CdGaNO2 at its relaxed geometry (PBE).

The raw formation energy is 0.82 eV per atom. The density is 4806 kg/m³. Its calculated volume is 79 Å³ per cell.

The space group is P4/mmm (No. 123) and the conventional cell measures 4.3085, 4.3085 and 4.2465 Å, with angles of 90.00, 90.00 and 90.00 degrees. The inequivalent atoms are Cd at (0.0000, 0.0000, 0.0000), Ga at (0.5000, 0.5000, 0.5000), N at (0.0000, 0.0000, 0.5000) and O at (0.0000, 0.5000, 0.0000).

Entry 15:
Entry from Alexandria via LeMat-Bulk: crystalline CdGaNO2 at its relaxed geometry (PBE).

The raw formation energy is -0.10 eV per atom. The density is 6240 kg/m³. Its calculated volume is 61 Å³ per cell.

The space group is P4/mmm (No. 123) and the conventional cell measures 3.9530, 3.9530 and 3.8852 Å, with angles of 90.00, 90.00 and 90.00 degrees. The inequivalent atoms are Cd at (0.0000, 0.0000, 0.0000), Ga at (0.5000, 0.5000, 0.5000), N at (0.5000, 0.5000, 0.0000) and O at (0.0000, 0.5000, 0.5000).

Entry 16:
Entry from Alexandria via LeMat-Bulk: crystalline CdGaSN2 at its relaxed geometry (PBE).

The raw formation energy is 0.98 eV per atom. The density is 4959 kg/m³. Its calculated volume is 81 Å³ per cell.

The space group is P4/mmm (No. 123) and the conventional cell measures 3.9056, 3.9056 and 5.3175 Å, with angles of 90.00, 90.00 and 90.00 degrees. The inequivalent atoms are Cd at (0.0000, 0.0000, 0.0000), Ga at (0.5000, 0.5000, 0.5000), S at (0.5000, 0.5000, 0.0000) and N at (0.0000, 0.5000, 0.5000).

Entry 17:
Entry from Alexandria via LeMat-Bulk: crystalline Sr2CdGaN at its relaxed geometry (PBE).

The raw formation energy is -0.47 eV per atom. The density is 4752 kg/m³. Its calculated volume is 260 Å³ per cell.

The space group is P2_1/m (No. 11) and the conventional cell measures 7.8928, 4.0008 and 9.0122 Å, with angles of 90.00, 114.21 and 90.00 degrees. The inequivalent atoms are Sr at (0.1763, 0.2500, 0.3870), Sr at (0.1847, 0.2500, 0.9804), Cd at (0.3243, 0.7500, 0.7367), Ga at (0.4365, 0.7500, 0.2829) and N at (0.1698, 0.7500, 0.1804).

Entry 18:
Entry from Alexandria via LeMat-Bulk: crystalline Cd2GaWN at its relaxed geometry (PBE).

The raw formation energy is 0.62 eV per atom. The density is 6981 kg/m³. Its calculated volume is 117 Å³ per cell.

The space group is P4/mmm (No. 123) and the conventional cell measures 5.5158, 5.5158 and 3.8498 Å, with angles of 90.00, 90.00 and 90.00 degrees. The inequivalent atoms are Cd at (0.0000, 0.5000, 0.0000), Ga at (0.0000, 0.0000, 0.5000), W at (0.5000, 0.5000, 0.0000) and N at (0.5000, 0.5000, 0.5000).

Entry 19:
Entry from Alexandria via LeMat-Bulk: crystalline YCdGa2N at its relaxed geometry (PBE).

The raw formation energy is -0.18 eV per atom. The density is 6262 kg/m³. Its calculated volume is 94 Å³ per cell.

The space group is P4/mmm (No. 123) and the conventional cell measures 4.5339, 4.5339 and 4.5770 Å, with angles of 90.00, 90.00 and 90.00 degrees. The inequivalent atoms are Y at (0.0000, 0.0000, 0.0000), Cd at (0.5000, 0.5000, 0.0000), Ga at (0.0000, 0.5000, 0.5000) and N at (0.0000, 0.0000, 0.5000).

Entry 20:
Entry from Alexandria via LeMat-Bulk: crystalline ZrCd2GaN at its relaxed geometry (PBE).

The raw formation energy is 1.34 eV per atom. The density is 5552 kg/m³. Its calculated volume is 120 Å³ per cell.

The space group is P4/mmm (No. 123) and the conventional cell measures 4.7675, 4.7675 and 5.2605 Å, with angles of 90.00, 90.00 and 90.00 degrees. The inequivalent atoms are Zr at (0.0000, 0.0000, 0.0000), Cd at (0.0000, 0.5000, 0.5000), Ga at (0.0000, 0.0000, 0.5000) and N at (0.5000, 0.5000, 0.0000).